[1]
Density functional theory data (meta-GGA SCAN) for a PBEsol-optimized structure of BeCrRe2.

Values from the calculation:
**VASP energy**: -330.3 eV/cell
**E_form**: -0.0537 eV per atom
**Crystal system**: orthorhombic

a b c (Å): 2.9535 4.0192 8.2923
angles (deg): 90.00 90.00 90.00
Space group Imm2 (No. 44)
Inequivalent atoms, fractional coordinates:
Be 0.0000 0.0000 0.0000 (multiplicity 2)
Cr 0.0000 0.5000 0.7437 (multiplicity 2)
Re 0.0000 0.0000 0.4881 (multiplicity 2)
Re 0.0000 0.5000 0.2444 (multiplicity 2)

=====

[2]
Density functional theory data (meta-GGA SCAN) for a PBEsol-optimized structure of BeCrRe2.

Values from the calculation:
**VASP energy**: -330.3 eV/cell
**E_form**: -0.0494 eV per atom
**Crystal system**: orthorhombic

a b c (Å): 2.9854 4.2325 7.9687
angles (deg): 90.00 90.00 90.00
Space group Immm (No. 71)
Inequivalent atoms, fractional coordinates:
Be 0.0000 0.0000 0.0000 (multiplicity 2)
Cr 0.0000 0.0000 0.5000 (multiplicity 2)
Re 0.0000 0.5000 0.2480 (multiplicity 4)

=====

[3]
Density functional theory data (meta-GGA SCAN) for a PBEsol-optimized structure of Be2CrRe2.

Values from the calculation:
**VASP energy**: -341.0 eV/cell
**E_form**: -0.2450 eV per atom
**Crystal system**: tetragonal

a b c (Å): 5.9264 5.9264 3.0760
angles (deg): 90.00 90.00 90.00
Space group P4/mbm (No. 127)
Inequivalent atoms, fractional coordinates:
Be 0.1209 0.3791 0.0000 (multiplicity 4)
Cr 0.0000 0.0000 0.0000 (multiplicity 2)
Re 0.1760 0.6760 0.5000 (multiplicity 4)

=====

[4]
Density functional theory data (meta-GGA SCAN) for a PBEsol-optimized structure of BeCr2Rh.

Values from the calculation:
**VASP energy**: -149.8 eV/cell
**E_form**: 0.0042 eV per atom
**Crystal system**: orthorhombic

a b c (Å): 4.5520 7.8328 2.5181
angles (deg): 90.00 90.00 90.00
Space group Cmmm (No. 65)
Inequivalent atoms, fractional coordinates:
Be 0.0000 0.0000 0.0000 (multiplicity 2)
Cr 0.2500 0.2500 0.5000 (multiplicity 4)
Rh 0.0000 0.5000 0.0000 (multiplicity 2)